No. 1
VASP calculation (PBE-GGA) on a geometry-optimized LaPrCuSi structure.

The calculation puts the formation energy from raw total energies at -450 meV per atom. The density of states at the Fermi level is 4.76 states/eV/f.u. The calculation puts the energy above the most stable polymorph in this dataset at 0.0 meV per atom.

The space group is Amm2 (No. 38) and the conventional cell measures 4.1946, 4.2968 and 11.1316 Å, with angles of 90.00, 90.00 and 90.00 degrees. The asymmetric unit holds La at (0.0000, 0.0000, 0.0000), Pr at (0.5000, 0.0000, 0.7144), Cu at (0.5000, 0.0000, 0.4117) and Si at (0.0000, 0.0000, 0.2895).


No. 2
VASP calculation (PBE-GGA) on a geometry-optimized LaPrCuSi structure.

The calculation puts the formation energy from raw total energies at -362 meV per atom. The density of states at the Fermi level is 3.75 states/eV/f.u. The calculation puts the energy above the most stable polymorph in this dataset at 88.0 meV per atom.

The space group is F-43m (No. 216) and the conventional cell measures 7.3297, 7.3297 and 7.3297 Å, with angles of 90.00, 90.00 and 90.00 degrees. The asymmetric unit holds La at (0.0000, 0.0000, 0.0000), Pr at (0.0000, 0.0000, 0.5000), Cu at (0.2500, 0.2500, 0.2500) and Si at (0.2500, 0.2500, 0.7500).


No. 3
VASP calculation (PBE-GGA) on a geometry-optimized LaPr2Cu2Sn2 structure.

The density of states at the Fermi level is 3.18 states/eV/f.u. The calculation puts the calculated formation energy at -0.43 eV/atom.

The space group is R-3m (No. 166, hexagonal axes) and the conventional cell measures 4.6422, 4.6422 and 29.6015 Å, with angles of 90.00, 90.00 and 120.00 degrees. The asymmetric unit holds La at (0.0000, 0.0000, 0.0000), Pr at (0.0000, 0.0000, 0.1294), Cu at (0.0000, 0.0000, 0.4085) and Sn at (0.0000, 0.0000, 0.2640).


No. 4
VASP calculation (PBE-GGA) on a geometry-optimized La2PrCu2Sn2 structure.

The density of states at the Fermi level is 4.31 states/eV/f.u. The calculation puts the calculated formation energy at -0.45 eV/atom.

The space group is R-3m (No. 166, hexagonal axes) and the conventional cell measures 4.5933, 4.5933 and 28.9767 Å, with angles of 90.00, 90.00 and 120.00 degrees. The asymmetric unit holds La at (0.0000, 0.0000, 0.1368), Pr at (0.0000, 0.0000, 0.0000), Cu at (0.0000, 0.0000, 0.4132) and Sn at (0.0000, 0.0000, 0.2646).


No. 5
VASP calculation (PBE-GGA) on a geometry-optimized LaTbPrCu structure.

The density of states at the Fermi level is 4.12 states/eV/f.u. The calculation puts the calculated formation energy at -0.08 eV/atom.

The space group is P4mm (No. 99) and the conventional cell measures 3.6198, 3.6198 and 8.8824 Å, with angles of 90.00, 90.00 and 90.00 degrees. The asymmetric unit holds La at (0.0000, 0.0000, 0.0000), Tb at (0.0000, 0.0000, 0.6122), Pr at (0.5000, 0.5000, 0.3152) and Cu at (0.5000, 0.5000, 0.7848).


No. 6
VASP calculation (PBE-GGA) on a geometry-optimized LaPrCuTc structure.

The density of states at the Fermi level is 4.71 states/eV/f.u. The calculation puts the calculated formation energy at 0.08 eV/atom.

The space group is F-43m (No. 216) and the conventional cell measures 7.1877, 7.1877 and 7.1877 Å, with angles of 90.00, 90.00 and 90.00 degrees. The asymmetric unit holds La at (0.0000, 0.0000, 0.0000), Pr at (0.0000, 0.0000, 0.5000), Cu at (0.2500, 0.2500, 0.7500) and Tc at (0.2500, 0.2500, 0.2500).


No. 7
VASP calculation (PBE-GGA) on a geometry-optimized La2PrCuTe5 structure.

The calculation puts the formation energy from raw total energies at -1295 meV per atom. The density of states at the Fermi level is 0.18 states/eV/f.u.

The space group is Cmc2_1 (No. 36) and the conventional cell measures 4.4152, 19.4710 and 13.1883 Å, with angles of 90.00, 90.00 and 90.00 degrees. The asymmetric unit holds La at (0.0000, 0.1090, 0.0000), La at (0.0000, 0.1197, 0.6265), Pr at (0.0000, 0.1918, 0.3259), Cu at (0.0000, 0.4310, 0.7694), Te at (0.0000, 0.0389, 0.3730), Te at (0.0000, 0.2900, 0.9961), Te at (0.0000, 0.3157, 0.6561), Te at (0.0000, 0.3583, 0.3163) and Te at (0.0000, 0.5004, 0.0967).


No. 8
VASP calculation (PBE-GGA) on a geometry-optimized LaPrYCu structure.

The density of states at the Fermi level is 4.15 states/eV/f.u. The calculation puts the calculated formation energy at -0.08 eV/atom.

The space group is P4mm (No. 99) and the conventional cell measures 3.6162, 3.6162 and 8.9077 Å, with angles of 90.00, 90.00 and 90.00 degrees. The asymmetric unit holds La at (0.0000, 0.0000, 0.0000), Pr at (0.5000, 0.5000, 0.3138), Y at (0.0000, 0.0000, 0.6126) and Cu at (0.5000, 0.5000, 0.7858).


No. 9
VASP calculation (PBE-GGA) on a geometry-optimized La3CuPt structure.

The density of states at the Fermi level is 5.05 states/eV/f.u. The calculation puts the calculated formation energy at -0.52 eV/atom. The calculation puts the energy above the most stable polymorph in this dataset at 11.1 meV per atom.

The space group is P-1 (No. 2) and the conventional cell measures 6.2051, 7.0516 and 7.4951 Å, with angles of 80.70, 89.20 and 64.29 degrees. The asymmetric unit holds La at (0.0508, 0.1831, 0.1584), La at (0.2569, 0.1794, 0.6496), La at (0.4112, 0.5013, 0.2517), Cu at (0.4653, 0.8378, 0.9865) and Pt at (0.2437, 0.8314, 0.4759).


No. 10
VASP calculation (PBE-GGA) on a geometry-optimized La2CuPt structure.

The density of states at the Fermi level is 2.53 states/eV/f.u. The calculation puts the calculated formation energy at -0.34 eV/atom.

The space group is I-42d (No. 122) and the conventional cell measures 7.7334, 7.7334 and 7.4700 Å, with angles of 90.00, 90.00 and 90.00 degrees. The asymmetric unit holds La at (0.2428, 0.7500, 0.1250), Cu at (0.0000, 0.0000, 0.5000) and Pt at (0.0000, 0.0000, 0.0000).


No. 11
VASP calculation (PBE-GGA) on a geometry-optimized LaCuPt structure.

The density of states at the Fermi level is 0.33 states/eV/f.u. The calculation puts the calculated formation energy at -0.17 eV/atom. The calculation puts the energy above the most stable polymorph in this dataset at 606.8 meV per atom.

The space group is F-43m (No. 216) and the conventional cell measures 6.7990, 6.7990 and 6.7990 Å, with angles of 90.00, 90.00 and 90.00 degrees. The asymmetric unit holds La at (0.0000, 0.0000, 0.0000), Cu at (0.2500, 0.2500, 0.2500) and Pt at (0.2500, 0.2500, 0.7500).


No. 12
VASP calculation (PBE-GGA) on a geometry-optimized La3Cu2Pt6 structure.

The density of states at the Fermi level is 6.26 states/eV/f.u. The calculation puts the calculated formation energy at -0.84 eV/atom.

The space group is Im-3m (No. 229) and the conventional cell measures 9.6866, 9.6866 and 9.6866 Å, with angles of 90.00, 90.00 and 90.00 degrees. The asymmetric unit holds La at (0.0000, 0.0000, 0.3022), Cu at (0.2500, 0.2500, 0.2500) and Pt at (0.0000, 0.3257, 0.3257).